Computed, not measured: ErAu3 after structural relaxation at the PBEsol level of DFT.

Summary:
Its density of states at the Fermi level is 0.347 states/eV/atom. The calculation puts the final energy at -4.9211 eV per atom. The value obtained for the energy relative to the elements is -0.7462 eV per atom. Its crystal system is orthorhombic.

Unit cell a=4.9356 b=5.0535 c=5.9945 alpha=90.00 beta=90.00 gamma=90.00
Last column: nearest neighbours and their distance in Å.
Element x y z (fractional)
Au 0.0000 0.3339 0.5000  8 Au 2.90-3.03, 4 Er 2.96-3.00
Er 0.5000 0.6557 0.5000  12 Au 2.93-3.01
Au 0.0000 0.8386 0.7443  8 Au 2.90-3.07, 4 Er 2.93-3.01
Er 0.0000 0.3443 0.0000  12 Au 2.93-3.01
Au 0.0000 0.8386 0.2557  8 Au 2.90-3.07, 4 Er 2.93-3.01
Au 0.5000 0.1614 0.7557  8 Au 2.90-3.07, 4 Er 2.93-3.01
Au 0.5000 0.6661 0.0000  8 Au 2.90-3.03, 4 Er 2.96-3.00
Au 0.5000 0.1614 0.2443  8 Au 2.90-3.07, 4 Er 2.93-3.01

=====

Computed, not measured: ZrRu3C after structural relaxation at the PBEsol level of DFT.

Summary:
Its density of states at the Fermi level is 1.577 states/eV/atom. The calculation puts the final energy at -6.6392 eV per atom. The value obtained for the energy relative to the elements is 3.2109 eV per atom. Its crystal system is cubic. As for the energy above the most stable polymorph in this dataset: 3.5698 eV per atom.

Unit cell a=4.6744 b=4.6744 c=4.6744 alpha=90.00 beta=90.00 gamma=90.00
Last column: nearest neighbours and their distance in Å.
Element x y z (fractional)
Ru 0.5000 0.0000 0.0000  2 Zr 2.34
Zr 0.0000 0.0000 0.0000  6 Ru 2.34
Ru 0.0000 0.5000 0.0000  2 Zr 2.34
C 0.5000 0.5000 0.5000  12 Ru 3.31
Ru 0.0000 0.0000 0.5000  2 Zr 2.34

=====

Computed, not measured: MgZrZn2 after structural relaxation at the PBEsol level of DFT.

Summary:
Its density of states at the Fermi level is 0.577 states/eV/atom. The calculation puts the final energy at -3.6078 eV per atom. The value obtained for the energy relative to the elements is -0.1151 eV per atom. Its crystal system is tetragonal.

Unit cell a=3.0297 b=3.0297 c=7.6875 alpha=90.00 beta=90.00 gamma=90.00
Last column: nearest neighbours and their distance in Å.
Element x y z (fractional)
Mg 0.5000 0.5000 0.7801  4 Zn 2.87, 4 Mg 3.03, 4 Zr 3.21
Zr 0.0000 0.0000 0.4689  4 Zn 2.86, 4 Zr 3.03
Zn 0.0000 0.0000 0.0286  4 Zn 2.61, 4 Mg 2.87
Zn 0.5000 0.5000 0.2223  4 Zn 2.61, 4 Zr 2.86

=====

Computed, not measured: LiTl after structural relaxation at the PBEsol level of DFT.

Summary:
Its density of states at the Fermi level is 0.384 states/eV/atom. The calculation puts the final energy at -2.5118 eV per atom. The value obtained for the energy relative to the elements is -0.2133 eV per atom. Its crystal system is orthorhombic.

Unit cell a=3.5233 b=4.7455 c=5.8331 alpha=114.00 beta=107.58 gamma=90.00
Last column: nearest neighbours and their distance in Å.
Element x y z (fractional)
Li 0.3749 0.6249 0.7499  6 Tl 2.96-3.02, 2 Li 3.07
Li 0.6251 0.3751 0.2501  6 Tl 2.96-3.02, 2 Li 3.07
Tl 0.1190 0.8690 0.2380  6 Li 2.96-3.02, 2 Tl 3.17
Tl 0.8810 0.1310 0.7620  6 Li 2.96-3.02, 2 Tl 3.17

=====

Computed, not measured: Mg2SnBAu after structural relaxation at the PBEsol level of DFT.

Summary:
Its density of states at the Fermi level is 0.702 states/eV/atom. The calculation puts the final energy at -2.4321 eV per atom. The value obtained for the energy relative to the elements is 1.2947 eV per atom. Its crystal system is tetragonal.

Unit cell a=5.0787 b=5.2596 c=5.2596 alpha=90.00 beta=90.00 gamma=90.00
Last column: nearest neighbours and their distance in Å.
Element x y z (fractional)
B 0.5000 0.5000 0.5000  8 Mg 3.66, 4 Au 3.72
Au 0.5000 0.0000 0.0000  2 Sn 2.54
Mg 0.0000 0.0000 0.5000  2 Sn 2.63
Mg 0.0000 0.5000 0.0000  2 Sn 2.63
Sn 0.0000 0.0000 0.0000  2 Au 2.54, 4 Mg 2.63

=====

Computed, not measured: LiYAu after structural relaxation at the PBEsol level of DFT.

Summary:
Its density of states at the Fermi level is 0.561 states/eV/atom. The calculation puts the final energy at -4.7519 eV per atom. The value obtained for the energy relative to the elements is -0.5142 eV per atom. Its crystal system is hexagonal. As for the energy above the most stable polymorph in this dataset: 0.0198 eV per atom.

Unit cell a=3.5678 b=4.4228 c=4.4228 alpha=120.00 beta=90.00 gamma=90.00
Last column: nearest neighbours and their distance in Å.
Element x y z (fractional)
Au 0.8333 0.0000 0.0000  3 Li 2.55
Y 0.3333 0.6667 0.3333  6 Li 3.11-3.12, 6 Au 3.11-3.12
Li 0.8334 0.3333 0.6667  3 Au 2.55

=====

Computed, not measured: Ba2PtO after structural relaxation at the PBEsol level of DFT.

Summary:
Its density of states at the Fermi level is 0.000 states/eV/atom. The calculation puts the final energy at -5.4832 eV per atom. Its crystal system is tetragonal. The value obtained for the formation energy without anion corrections is -1355.5 meV per atom.

Unit cell a=6.6776 b=6.6776 c=6.6776 alpha=101.34 beta=113.68 gamma=113.68
Last column: nearest neighbours and their distance in Å.
Element x y z (fractional)
Ba 0.9417 0.5667 0.1250  2 O 2.53
Ba 0.4417 0.8750 0.8167  2 O 2.53
Ba 0.0583 0.1833 0.6250  2 O 2.53
O 0.0000 0.5000 0.5000  4 Ba 2.53
Pt 0.0000 0.0000 0.0000  4 Ba 3.09
O 0.5000 0.2500 0.7500  4 Ba 2.53
Ba 0.5583 0.3750 0.4333  2 O 2.53
Pt 0.5000 0.7500 0.2500  4 Ba 3.09

=====

Computed, not measured: MnPtO2F after structural relaxation at the PBEsol level of DFT.

Summary:
Its density of states at the Fermi level is 0.747 states/eV/atom. The calculation puts the final energy at -6.0293 eV per atom. Its crystal system is tetragonal. The value obtained for the formation energy without anion corrections is -199.2 meV per atom.

Unit cell a=3.9509 b=3.9509 c=4.1324 alpha=90.00 beta=90.00 gamma=90.00
Last column: nearest neighbours and their distance in Å.
Element x y z (fractional)
Pt 0.0000 0.0000 0.0000  4 O 1.98, 2 F 2.07
O 0.5000 0.0000 0.0000  2 Pt 1.98
Mn 0.5000 0.5000 0.5000  4 F 2.79, 8 O 2.86
F 0.0000 0.0000 0.5000  2 Pt 2.07
O 0.0000 0.5000 0.0000  2 Pt 1.98